(1)
First-principles (PBE) data for a relaxed structure of UTl2BiO6, as listed in the Alexandria database.

SG = No. 225
formation energy from raw total energies = -1.759 eV/atom

Unit cell a=6.205 b=6.205 c=6.205 alpha=60.00 beta=60.00 gamma=60.00
Positions (direct):
U  0.000  0.000  0.000
Tl  0.250  0.250  0.250
Tl  0.750  0.750  0.750
Bi  0.500  0.500  0.500
O  0.237  0.237  0.763
O  0.237  0.763  0.237
O  0.237  0.763  0.763
O  0.763  0.237  0.237
O  0.763  0.237  0.763
O  0.763  0.763  0.237

=====

(2)
First-principles (PBE) data for a relaxed structure of Ce3BiCl3, as listed in the Alexandria database.

SG = No. 148
formation energy from raw total energies = -1.370 eV/atom

Unit cell a=10.848 b=10.848 c=10.848 alpha=39.65 beta=39.65 gamma=39.65
Positions (direct):
Ce  0.063  0.364  0.761
Ce  0.239  0.937  0.636
Ce  0.364  0.761  0.063
Ce  0.636  0.239  0.937
Ce  0.761  0.063  0.364
Ce  0.937  0.636  0.239
Bi  0.333  0.333  0.333
Bi  0.667  0.667  0.667
Cl  0.113  0.757  0.472
Cl  0.243  0.528  0.887
Cl  0.472  0.113  0.757
Cl  0.528  0.887  0.243
Cl  0.757  0.472  0.113
Cl  0.887  0.243  0.528

=====

(3)
First-principles (PBE) data for a relaxed structure of ZrNi, as listed in the Alexandria database.

SG = No. 176
energy of formation from the pure elements = 0.009 eV per atom

Unit cell a=7.873 b=7.873 c=4.147 alpha=90.00 beta=90.00 gamma=120.00
Positions (direct):
Zr  0.100  0.674  0.250
Zr  0.326  0.426  0.250
Zr  0.426  0.100  0.750
Zr  0.574  0.900  0.250
Zr  0.674  0.574  0.750
Zr  0.900  0.326  0.750
Ni  0.039  0.838  0.750
Ni  0.162  0.201  0.750
Ni  0.201  0.039  0.250
Ni  0.799  0.961  0.750
Ni  0.838  0.799  0.250
Ni  0.961  0.162  0.250

=====

(4)
First-principles (PBE) data for a relaxed structure of BaBePtAu2, as listed in the Alexandria database.

SG = No. 123
energy of formation from the pure elements = -0.412 eV per atom

Unit cell a=4.772 b=4.772 c=4.668 alpha=90.00 beta=90.00 gamma=90.00
Positions (direct):
Ba  0.000  0.000  0.000
Be  0.500  0.500  0.500
Pt  0.500  0.500  0.000
Au  0.000  0.500  0.500
Au  0.500  0.000  0.500

=====

(5)
First-principles (PBE) data for a relaxed structure of DyTcB3, as listed in the Alexandria database.

SG = No. 63
energy of formation from the pure elements = -0.414 eV per atom

Unit cell a=9.874 b=9.874 c=3.108 alpha=90.00 beta=90.00 gamma=158.50
Positions (direct):
Dy  0.077  0.923  0.750
Dy  0.923  0.077  0.250
Tc  0.208  0.792  0.250
Tc  0.792  0.208  0.750
B  0.322  0.678  0.250
B  0.368  0.632  0.750
B  0.478  0.522  0.750
B  0.522  0.478  0.250
B  0.632  0.368  0.250
B  0.678  0.322  0.750

=====

(6)
First-principles (PBE) data for a relaxed structure of CoAs2Os, as listed in the Alexandria database.

SG = No. 8
energy of formation from the pure elements = 0.138 eV per atom
relative energy among the computed polymorphs = 49 meV/atom

Unit cell a=4.283 b=4.283 c=4.950 alpha=102.86 beta=102.86 gamma=43.71
Positions (direct):
Co  0.000  0.000  0.000
As  0.476  0.476  0.370
As  0.707  0.707  0.954
Os  0.215  0.215  0.572

=====

no.,spin magnetization (Bohr magnetons per cell)
1,0.00
2,9.84
3,1.32
4,0.00
5,0.00
6,0.00